(1)
Entry from Alexandria: KTcNi after structural relaxation (PBE-GGA). Values from VASP.

```
&SYSTEM
  ibrav = 0, nat = 6, ntyp = 3
/
ATOMIC_SPECIES
Ni 58.69 Ni.upf
K 39.10 K.upf
Tc 98.00 Tc.upf
ATOMIC_POSITIONS crystal
Ni 0.9148 0.0832 0.3341
Ni 0.0852 0.9168 0.6659
K 0.1971 0.3070 0.8862
K 0.8029 0.6930 0.1138
Tc 0.5891 0.7007 0.4999
Tc 0.4109 0.2993 0.5001
CELL_PARAMETERS angstrom
-2.6097 -0.0727 -0.8182
-2.1624 -3.5868 3.9772
-1.3437 4.2437 6.9563
```

Properties
ΔE_f ... 0.549 eV per atom
Excess energy over the best structure of this formula in the dataset ... 2.86 kcal/mol of atoms
DOS at the Fermi energy ... 3.36 states/eV/cell


(2)
Entry from Alexandria: Tb2YErSe4 after structural relaxation (PBE-GGA). Values from VASP.

```
&SYSTEM
  ibrav = 0, nat = 8, ntyp = 4
/
ATOMIC_SPECIES
Tb 158.93 Tb.upf
Y 88.91 Y.upf
Er 167.26 Er.upf
Se 78.96 Se.upf
ATOMIC_POSITIONS crystal
Tb 0.0000 0.0000 0.0000
Tb 0.5000 0.0000 0.5000
Y 0.5000 0.5000 0.0000
Er 0.0000 0.5000 0.5000
Se 0.0000 0.7475 0.7486
Se 0.0000 0.2525 0.2514
Se 0.5000 0.7458 0.2536
Se 0.5000 0.2542 0.7464
CELL_PARAMETERS angstrom
4.0325 0.0000 0.0000
0.0000 7.0844 -0.1734
0.0000 2.4630 6.6558
```

Properties
Energy relative to the elements, uncorrected ... -1.75 eV per atom
DOS at the Fermi energy ... 4.70 states/eV/cell


(3)
Entry from Alexandria: ZrIr2Pd after structural relaxation (PBE-GGA). Values from VASP.

```
&SYSTEM
  ibrav = 0, nat = 4, ntyp = 3
/
ATOMIC_SPECIES
Ir 192.22 Ir.upf
Zr 91.22 Zr.upf
Pd 106.42 Pd.upf
ATOMIC_POSITIONS crystal
Ir 0.2500 0.2500 0.2500
Ir 0.7500 0.7500 0.7500
Zr 0.0000 0.0000 0.0000
Pd 0.5000 0.5000 0.5000
CELL_PARAMETERS angstrom
-2.1775 2.7518 2.8777
0.6772 4.4831 -0.1961
-3.2924 2.7278 -1.5213
```

Properties
ΔE_f ... -0.295 eV per atom
DOS at the Fermi energy ... 5.16 states/eV/cell


(4)
Entry from Alexandria: Pr2NdZn after structural relaxation (PBE-GGA). Values from VASP.

```
&SYSTEM
  ibrav = 0, nat = 4, ntyp = 3
/
ATOMIC_SPECIES
Pr 140.91 Pr.upf
Nd 144.24 Nd.upf
Zn 65.41 Zn.upf
ATOMIC_POSITIONS crystal
Pr 0.0001 0.0001 0.9998
Pr 0.2501 0.2501 0.2498
Nd 0.5000 0.5000 0.5001
Zn 0.7499 0.7499 0.7503
CELL_PARAMETERS angstrom
-3.2970 0.8557 4.3559
1.3866 -2.0218 4.9564
1.5871 3.4260 4.0380
```

Properties
ΔE_f ... 0.069 eV per atom
Excess energy over the best structure of this formula in the dataset ... 4.93 kcal/mol of atoms
DOS at the Fermi energy ... 5.55 states/eV/cell


(5)
Entry from Alexandria: ZnFe2Pt after structural relaxation (PBE-GGA). Values from VASP.

```
&SYSTEM
  ibrav = 0, nat = 4, ntyp = 3
/
ATOMIC_SPECIES
Fe 55.84 Fe.upf
Pt 195.08 Pt.upf
Zn 65.41 Zn.upf
ATOMIC_POSITIONS crystal
Fe 0.9983 0.9983 0.0015
Fe 0.5017 0.5017 0.4985
Pt 0.7500 0.7500 0.7500
Zn 0.2500 0.2500 0.2500
CELL_PARAMETERS angstrom
5.0524 0.0270 0.2992
4.2098 2.7937 0.2992
1.4865 0.4527 3.9301
```

Properties
ΔE_f ... -0.120 eV per atom
DOS at the Fermi energy ... 2.07 states/eV/cell


(6)
Entry from Alexandria: Er4CuTe2 after structural relaxation (PBE-GGA). Values from VASP.

```
&SYSTEM
  ibrav = 0, nat = 14, ntyp = 3
/
ATOMIC_SPECIES
Er 167.26 Er.upf
Cu 63.55 Cu.upf
Te 127.60 Te.upf
ATOMIC_POSITIONS crystal
Er 0.0000 0.6388 0.7957
Er 0.0000 0.3612 0.2043
Er 0.0000 0.1388 0.7043
Er 0.0000 0.8612 0.2957
Er 0.5000 0.7982 0.5602
Er 0.5000 0.2018 0.4398
Er 0.5000 0.7018 0.0602
Er 0.5000 0.2982 0.9398
Cu 0.0000 0.0000 0.5000
Cu 0.0000 0.5000 0.0000
Te 0.5000 0.9259 0.8332
Te 0.5000 0.0741 0.1668
Te 0.5000 0.4259 0.6668
Te 0.5000 0.5741 0.3332
CELL_PARAMETERS angstrom
4.2365 0.0000 0.0000
0.0000 7.7765 0.0000
0.0000 0.0000 12.0355
```

Properties
Energy relative to the elements, uncorrected ... -0.73 eV per atom
DOS at the Fermi energy ... 13.15 states/eV/cell


(7)
Entry from Alexandria: Li2Zn7Ni after structural relaxation (PBE-GGA). Values from VASP.

```
&SYSTEM
  ibrav = 0, nat = 10, ntyp = 3
/
ATOMIC_SPECIES
Li 6.94 Li.upf
Zn 65.41 Zn.upf
Ni 58.69 Ni.upf
ATOMIC_POSITIONS crystal
Li 0.3333 0.6667 0.7682
Li 0.6667 0.3333 0.3494
Zn 0.6667 0.3333 0.6012
Zn 0.6667 0.3333 0.8544
Zn 0.0000 0.0000 0.6928
Zn 0.0000 0.0000 0.1922
Zn 0.3333 0.6667 0.5019
Zn 0.3333 0.6667 0.0139
Zn 0.6667 0.3333 0.0986
Ni 0.0000 0.0000 0.9440
CELL_PARAMETERS angstrom
-3.9155 0.9126 -1.1740
1.0876 -3.9736 0.7550
-2.7122 1.1455 9.9358
```

Properties
ΔE_f ... -0.043 eV per atom
DOS at the Fermi energy ... 3.75 states/eV/cell


(8)
Entry from Alexandria: Tb2Pr4Nd3 after structural relaxation (PBE-GGA). Values from VASP.

```
&SYSTEM
  ibrav = 0, nat = 9, ntyp = 3
/
ATOMIC_SPECIES
Tb 158.93 Tb.upf
Pr 140.91 Pr.upf
Nd 144.24 Nd.upf
ATOMIC_POSITIONS crystal
Tb 0.3332 0.6665 0.2222
Tb 0.6668 0.3335 0.7778
Pr 0.6672 0.3344 0.1109
Pr 0.0011 0.0022 0.6673
Pr 0.9989 0.9978 0.3327
Pr 0.3328 0.6656 0.8891
Nd 0.3317 0.6635 0.5561
Nd 0.0000 0.0000 0.0000
Nd 0.6683 0.3365 0.4439
CELL_PARAMETERS angstrom
-3.0040 -0.9488 1.8827
-1.8328 -2.3211 -7.6711
3.1925 -10.5217 -0.2087
```

Properties
ΔE_f ... 0.015 eV per atom
Excess energy over the best structure of this formula in the dataset ... 0.00 kcal/mol of atoms
DOS at the Fermi energy ... 13.22 states/eV/cell


(9)
Entry from Alexandria: TlSnSe2 after structural relaxation (PBE-GGA). Values from VASP.

```
&SYSTEM
  ibrav = 0, nat = 32, ntyp = 3
/
ATOMIC_SPECIES
Tl 204.38 Tl.upf
Sn 118.71 Sn.upf
Se 78.96 Se.upf
ATOMIC_POSITIONS crystal
Tl 0.2500 0.5859 0.7055
Tl 0.7500 0.4141 0.2945
Tl 0.2500 0.0859 0.7945
Tl 0.7500 0.9141 0.2055
Tl 0.2500 0.9792 0.3562
Tl 0.7500 0.0208 0.6438
Tl 0.2500 0.4792 0.1438
Tl 0.7500 0.5208 0.8562
Sn 0.7500 0.3997 0.5298
Sn 0.7500 0.7831 0.4413
Sn 0.2500 0.2169 0.5587
Sn 0.7500 0.2831 0.0587
Sn 0.2500 0.7169 0.9413
Sn 0.7500 0.8997 0.9702
Sn 0.2500 0.1003 0.0298
Sn 0.2500 0.6003 0.4702
Se 0.5088 0.8189 0.8419
Se 0.5088 0.3189 0.6581
Se 0.0088 0.6811 0.3419
Se 0.9912 0.8189 0.8419
Se 0.4912 0.1811 0.1581
Se 0.4912 0.6811 0.3419
Se 0.9912 0.3189 0.6581
Se 0.0088 0.1811 0.1581
Se 0.2500 0.4524 0.9280
Se 0.7500 0.5476 0.0720
Se 0.2500 0.9524 0.5720
Se 0.7500 0.6695 0.5980
Se 0.2500 0.8305 0.0980
Se 0.7500 0.1695 0.9020
Se 0.2500 0.3305 0.4020
Se 0.7500 0.0476 0.4280
CELL_PARAMETERS angstrom
-1.9023 3.7192 6.1649
-5.6588 -7.1733 2.5814
11.2513 -6.2661 7.2520
```

Properties
Energy relative to the elements, uncorrected ... -0.40 eV per atom


no.,density (g cm⁻³)
1,5.4
2,7.7
3,14.6
4,6.8
5,11.5
6,8.3
7,5.6
8,6.9
9,6.1